one:
Density functional theory data (PBE) for a geometry-optimized Zr3WAu structure.

Geometry as extended XYZ:
```
5
Lattice="5.0638 0.0000 0.0000 0.0000 5.0638 0.0000 0.0000 0.0000 5.0638" Properties=species:S:1:pos:R:3 pbc="T T T"
Zr 0.0000 0.0000 2.5319
Zr 0.0000 2.5319 0.0000
Zr 2.5319 0.0000 0.0000
W 2.5319 2.5319 2.5319
Au 0.0000 0.0000 0.0000
```

Calculated values
- space-group type = Pm-3m, No. 221

two:
Density functional theory data (PBE) for a geometry-optimized Zr3WAu structure.

Geometry as extended XYZ:
```
5
Lattice="5.0576 0.0000 0.0000 0.0000 5.0576 0.0000 0.0000 0.0000 5.0576" Properties=species:S:1:pos:R:3 pbc="T T T"
Zr 0.0000 0.0000 2.5288
Zr 0.0000 2.5288 0.0000
Zr 2.5288 0.0000 0.0000
W 0.0000 0.0000 0.0000
Au 2.5288 2.5288 2.5288
```

Calculated values
- space-group type = Pm-3m, No. 221

Which one is most stable, and which one is least stable? two is the most stable of them, while one is the least stable.

one:
Density functional theory data (PBE) for a geometry-optimized Y4Au structure.

Geometry as extended XYZ:
```
10
Lattice="6.9025 0.0000 0.0000 0.0000 6.9025 0.0000 0.0000 0.0000 6.9025" Properties=species:S:1:pos:R:3 pbc="T T T"
Y 1.7256 1.7256 1.7256
Y 1.7256 1.7256 5.1769
Y 1.7256 5.1769 1.7256
Y 1.7256 5.1769 5.1769
Y 5.1769 1.7256 1.7256
Y 5.1769 1.7256 5.1769
Y 5.1769 5.1769 1.7256
Y 5.1769 5.1769 5.1769
Au 0.0000 0.0000 0.0000
Au 3.4512 3.4512 3.4512
```

Calculated values
- space-group type = Im-3m, No. 229

two:
Density functional theory data (PBE) for a geometry-optimized Y4Au structure.

Geometry as extended XYZ:
```
10
Lattice="7.3558 0.0000 0.0000 0.0000 7.3558 0.0000 0.0000 0.0000 5.3824" Properties=species:S:1:pos:R:3 pbc="T T T"
Y 1.0120 2.3879 0.0000
Y 1.2900 4.6899 2.6912
Y 2.3879 6.3438 0.0000
Y 2.6659 1.2900 2.6912
Y 4.6899 6.0658 2.6912
Y 4.9679 1.0120 0.0000
Y 6.0658 2.6659 2.6912
Y 6.3438 4.9679 0.0000
Au 0.0000 0.0000 2.6912
Au 3.6779 3.6779 0.0000
```

Calculated values
- space-group type = I4/m, No. 87

three:
Density functional theory data (PBE) for a geometry-optimized Y4Au structure.

Geometry as extended XYZ:
```
10
Lattice="0.0000 6.7416 3.7743 6.0408 0.0000 3.7743 6.0408 6.7416 0.0000" Properties=species:S:1:pos:R:3 pbc="T T T"
Y 6.9897 1.5345 3.7743
Y 3.9693 1.8363 1.8871
Y 7.6434 5.8068 2.2819
Y 2.0716 4.9053 1.8871
Y 4.6230 4.3056 4.1690
Y 4.4383 7.6764 2.2819
Y 7.4587 9.1776 4.1690
Y 5.0920 11.9486 3.7743
Au 6.0408 6.7416 4.8971
Au 9.0613 10.1124 6.7842
```

Calculated values
- space-group type = Fdd2, No. 43

four:
Density functional theory data (PBE) for a geometry-optimized Y4Au structure.

Geometry as extended XYZ:
```
5
Lattice="5.5715 0.0000 0.0000 0.0000 5.5715 0.0000 0.0000 0.0000 5.5715" Properties=species:S:1:pos:R:3 pbc="T T T"
Y 0.0000 0.0000 0.0000
Y 0.0000 2.7858 2.7858
Y 2.7858 0.0000 2.7858
Y 2.7858 2.7858 0.0000
Au 2.7858 2.7858 2.7858
```

Calculated values
- space-group type = Pm-3m, No. 221

Which one is most stable, and which one is least stable? three is the most stable of them, while one is the least stable.

one:
Density functional theory data (PBE) for a geometry-optimized Y5Au3 structure.

Geometry as extended XYZ:
```
16
Lattice="8.7093 0.0000 0.0000 -4.3547 7.5425 0.0000 0.0000 0.0000 6.3251" Properties=species:S:1:pos:R:3 pbc="T T T"
Y -1.0623 1.8399 1.5813
Y -3.2924 5.7026 4.7438
Y 2.1245 0.0000 1.5813
Y 1.0623 1.8399 4.7438
Y 0.0000 5.0283 0.0000
Y 0.0000 5.0283 3.1626
Y 4.3547 2.5142 0.0000
Y 4.3547 2.5142 3.1626
Y 6.5848 0.0000 4.7438
Y 3.2924 5.7026 1.5813
Au -1.7310 2.9982 4.7438
Au -2.6237 4.5443 1.5813
Au 3.4620 0.0000 4.7438
Au 1.7310 2.9982 1.5813
Au 5.2473 0.0000 1.5813
Au 2.6237 4.5443 4.7438
```

Calculated values
- space-group type = P6_3/mcm, No. 193

two:
Density functional theory data (PBE) for a geometry-optimized Y5Au3 structure.

Geometry as extended XYZ:
```
16
Lattice="7.6682 0.0000 0.0000 0.0000 10.7312 0.0000 0.0000 0.0000 4.9974" Properties=species:S:1:pos:R:3 pbc="T T T"
Y 0.0000 0.0000 0.0000
Y 1.6438 5.3656 2.4987
Y 1.9170 2.6828 0.0000
Y 1.9170 8.0484 0.0000
Y 2.1903 0.0000 2.4987
Y 3.8341 5.3656 0.0000
Y 5.4778 0.0000 2.4987
Y 5.7511 2.6828 0.0000
Y 5.7511 8.0484 0.0000
Y 6.0244 5.3656 2.4987
Au 0.0000 2.1006 2.4987
Au 0.0000 5.3656 0.0000
Au 0.0000 8.6306 2.4987
Au 3.8341 0.0000 0.0000
Au 3.8341 3.2650 2.4987
Au 3.8341 7.4662 2.4987
```

Calculated values
- space-group type = Cmmm, No. 65

three:
Density functional theory data (PBE) for a geometry-optimized Y5Au3 structure.

Geometry as extended XYZ:
```
16
Lattice="-3.7191 3.7191 7.5942 3.7191 -3.7191 7.5942 3.7191 3.7191 -7.5942" Properties=species:S:1:pos:R:3 pbc="T T T"
Y 0.0000 0.0000 0.0000
Y 4.9624 1.2433 -2.2917
Y 1.2433 2.4758 -2.2917
Y 4.9624 1.2433 2.2917
Y 1.2433 2.4758 2.2917
Y 0.0000 0.0000 7.5942
Y 2.4758 1.2433 5.3025
Y -1.2433 2.4758 5.3025
Y 2.4758 1.2433 9.8859
Y -1.2433 2.4758 9.8859
Au 2.7146 1.0044 0.0000
Au 0.0000 0.0000 3.7971
Au 2.7146 -1.0044 7.5942
Au 1.0044 4.7235 0.0000
Au 0.0000 0.0000 11.3913
Au 1.0044 2.7146 7.5942
```

Calculated values
- space-group type = I4/mcm, No. 140

Which one is most stable, and which one is least stable? three is the most stable of them, while two is the least stable.